Record 1
CaNb3Te: relaxed, PBE-GGA.

abc: 5.1282 5.1282 5.1282
angles: 90.00 90.00 90.00
Space group Pm-3m (No. 221)
One atom of each set of equivalent atoms:
Ca1 0.0000 0.0000 0.0000 (multiplicity 1)
Nb1 0.0000 0.5000 0.5000 (multiplicity 3)
Te1 0.5000 0.5000 0.5000 (multiplicity 1)

Computed properties:
The calculation puts the electronic total energy at -0.2213 Ha/atom. For the raw formation energy, the calculation gives 5.25 eV/f.u. The distance to the lowest polymorph of the same formula is 0.0 meV per atom. The density of states at the Fermi level is 1.87 states/eV per atom.

***

Record 2
CaNbTe3: relaxed, PBE-GGA.

abc: 5.4861 5.4861 5.4861
angles: 90.00 90.00 90.00
Space group Pm-3m (No. 221)
One atom of each set of equivalent atoms:
Ca1 0.0000 0.0000 0.0000 (multiplicity 1)
Nb1 0.5000 0.5000 0.5000 (multiplicity 1)
Te1 0.0000 0.5000 0.5000 (multiplicity 3)

Computed properties:
The calculation puts the electronic total energy at -0.1710 Ha/atom. For the raw formation energy, the calculation gives -1.77 eV/f.u. The distance to the lowest polymorph of the same formula is 0.0 meV per atom. The density of states at the Fermi level is 0.62 states/eV per atom.

***

Record 3
CaNbTe2: relaxed, PBE-GGA.

abc: 5.1761 5.1761 3.5902
angles: 90.00 90.00 90.00
Space group P4/mmm (No. 123)
One atom of each set of equivalent atoms:
Ca1 0.0000 0.0000 0.0000 (multiplicity 1)
Nb1 0.5000 0.5000 0.0000 (multiplicity 1)
Te1 0.0000 0.5000 0.5000 (multiplicity 2)

Computed properties:
The calculation puts the electronic total energy at -0.1836 Ha/atom. For the raw formation energy, the calculation gives -1.63 eV/f.u. The distance to the lowest polymorph of the same formula is 158.4 meV per atom. The density of states at the Fermi level is 0.83 states/eV per atom.

***

Record 4
Ca2Nb2Te: relaxed, PBE-GGA.

abc: 9.0577 9.0577 3.5984
angles: 90.00 90.00 90.00
Space group P4/mbm (No. 127)
One atom of each set of equivalent atoms:
Ca1 0.2019 0.2981 0.0000 (multiplicity 4)
Nb1 0.0856 0.5856 0.5000 (multiplicity 4)
Te1 0.0000 0.0000 0.0000 (multiplicity 2)

Computed properties:
The calculation puts the electronic total energy at -0.1833 Ha/atom. For the raw formation energy, the calculation gives 2.34 eV/f.u. The distance to the lowest polymorph of the same formula is 568.4 meV per atom. The density of states at the Fermi level is 0.95 states/eV per atom.

***

Record 5
Ca2Nb2Te: relaxed, PBE-GGA.

abc: 3.7729 3.7729 19.5199
angles: 90.00 90.00 90.00
Space group I4/mmm (No. 139)
One atom of each set of equivalent atoms:
Ca1 0.0000 0.0000 0.0967 (multiplicity 4)
Nb1 0.0000 0.5000 0.2500 (multiplicity 4)
Te1 0.0000 0.0000 0.5000 (multiplicity 2)

Computed properties:
The calculation puts the electronic total energy at -0.2042 Ha/atom. For the raw formation energy, the calculation gives -0.50 eV/f.u. The distance to the lowest polymorph of the same formula is 0.0 meV per atom. The density of states at the Fermi level is 0.72 states/eV per atom.

***

Record 6
CaNbTe2: relaxed, PBE-GGA.

abc: 7.2576 7.2576 7.2576
angles: 90.00 90.00 90.00
Space group Fm-3m (No. 225)
One atom of each set of equivalent atoms:
Ca1 0.0000 0.0000 0.0000 (multiplicity 4)
Nb1 0.0000 0.0000 0.5000 (multiplicity 4)
Te1 0.2500 0.2500 0.2500 (multiplicity 8)

Computed properties:
The calculation puts the electronic total energy at -0.1861 Ha/atom. For the raw formation energy, the calculation gives -1.90 eV/f.u. The distance to the lowest polymorph of the same formula is 91.0 meV per atom. The density of states at the Fermi level is 1.13 states/eV per atom.